No. 1
DFT (PBE) results for Hg3SeCl after structural relaxation.

Cell and atoms, written as CIF:
```
data_Hg3SeCl
_chemical_formula_sum 'Hg3 Se1 Cl1'
_symmetry_space_group_name_H-M 'P m -3 m'
_symmetry_Int_Tables_number 221
_symmetry_space_group_name_Hall '-P 4 2 3'
_cell_length_a 5.501
_cell_length_b 5.501
_cell_length_c 5.501
_cell_angle_alpha 90.00
_cell_angle_beta 90.00
_cell_angle_gamma 90.00
loop_
_atom_site_label
_atom_site_fract_x
_atom_site_fract_y
_atom_site_fract_z
_atom_site_occupancy
Hg1 0.000 0.000 0.500 1
Se1 0.000 0.000 0.000 1
Cl1 0.500 0.500 0.500 1
```

Offset from the most stable computed form (eV/atom): 0.0000
Size of the total moment (μB per atom): 0.00
E_form (uncorrected) (eV/atom): -0.054
DOS(E_F) (states/eV per atom): 0.42

No. 2
DFT (PBE) results for CuIr after structural relaxation.

Cell and atoms, written as CIF:
```
data_CuIr
_chemical_formula_sum 'Cu4 Ir4'
_symmetry_space_group_name_H-M 'F m -3 m'
_symmetry_Int_Tables_number 225
_symmetry_space_group_name_Hall '-F 4 2 3'
_cell_length_a 4.938
_cell_length_b 4.938
_cell_length_c 4.938
_cell_angle_alpha 90.00
_cell_angle_beta 90.00
_cell_angle_gamma 90.00
loop_
_atom_site_label
_atom_site_fract_x
_atom_site_fract_y
_atom_site_fract_z
_atom_site_occupancy
Cu1 0.000 0.000 0.000 1
Ir1 0.000 0.000 0.500 1
```

Formation energy (eV/atom): 1.02
Size of the total moment (μB per atom): 0.00
DOS(E_F) (states/eV per atom): 1.51

No. 3
DFT (PBE) results for BaCd2W after structural relaxation.

Cell and atoms, written as CIF:
```
data_BaCd2W
_chemical_formula_sum 'Ba2 Cd4 W2'
_symmetry_space_group_name_H-M 'C 1 m 1'
_symmetry_Int_Tables_number 8
_cell_length_a 10.062
_cell_length_b 3.064
_cell_length_c 6.856
_cell_angle_alpha 90.00
_cell_angle_beta 96.39
_cell_angle_gamma 90.00
loop_
_symmetry_equiv_pos_as_xyz
'x,y,z'
'x,-y,z'
'x+1/2,y+1/2,z'
'x+1/2,-y+1/2,z'
loop_
_atom_site_label
_atom_site_fract_x
_atom_site_fract_y
_atom_site_fract_z
_atom_site_occupancy
Ba1 0.000 0.000 0.000 1
Cd1 0.244 0.000 0.679 1
Cd2 0.498 0.000 0.452 1
W1 0.257 0.500 0.323 1
```

Formation energy (eV/atom): 0.80
Offset from the most stable computed form (eV/atom): 0.1812
Size of the total moment (μB per atom): 0.00
DOS(E_F) (states/eV per atom): 0.93

No. 4
DFT (PBE) results for Pm12Dy2Tm5 after structural relaxation.

Cell and atoms, written as CIF:
```
data_Pm12Dy2Tm5
_chemical_formula_sum 'Pm24 Dy4 Tm10'
_symmetry_space_group_name_H-M 'C 1 2/m 1'
_symmetry_Int_Tables_number 12
_cell_length_a 22.164
_cell_length_b 7.074
_cell_length_c 8.697
_cell_angle_alpha 90.00
_cell_angle_beta 109.91
_cell_angle_gamma 90.00
loop_
_symmetry_equiv_pos_as_xyz
'x,y,z'
'-x,-y,-z'
'-x,y,-z'
'x,-y,z'
'x+1/2,y+1/2,z'
'-x+1/2,-y+1/2,-z'
'-x+1/2,y+1/2,-z'
'x+1/2,-y+1/2,z'
loop_
_atom_site_label
_atom_site_fract_x
_atom_site_fract_y
_atom_site_fract_z
_atom_site_occupancy
Pm1 0.048 0.000 0.193 1
Pm2 0.107 0.244 0.885 1
Pm3 0.145 0.500 0.566 1
Pm4 0.200 0.247 0.293 1
Dy1 0.000 0.243 0.500 1
Tm1 0.000 0.500 0.000 1
Tm2 0.151 0.000 0.596 1
Tm3 0.249 0.500 0.993 1
```

Formation energy (eV/atom): 0.14
Offset from the most stable computed form (eV/atom): 0.0154
Size of the total moment (μB per atom): 0.00
DOS(E_F) (states/eV per atom): 1.46

No. 5
DFT (PBE) results for TbMnPdRh after structural relaxation.

Cell and atoms, written as CIF:
```
data_TbMnPdRh
_chemical_formula_sum 'Tb4 Mn4 Pd4 Rh4'
_symmetry_space_group_name_H-M 'F -4 3 m'
_symmetry_Int_Tables_number 216
_symmetry_space_group_name_Hall 'F -4 2 3'
_cell_length_a 6.582
_cell_length_b 6.582
_cell_length_c 6.582
_cell_angle_alpha 90.00
_cell_angle_beta 90.00
_cell_angle_gamma 90.00
loop_
_atom_site_label
_atom_site_fract_x
_atom_site_fract_y
_atom_site_fract_z
_atom_site_occupancy
Tb1 0.000 0.000 0.000 1
Mn1 0.000 0.000 0.500 1
Pd1 0.250 0.250 0.250 1
Rh1 0.250 0.250 0.750 1
```

Formation energy (eV/atom): -0.49
Size of the total moment (μB per atom): 1.11
DOS(E_F) (states/eV per atom): 0.61

No. 6
DFT (PBE) results for Pa2TcB after structural relaxation.

Cell and atoms, written as CIF:
```
data_Pa2TcB
_chemical_formula_sum 'Pa4 Tc2 B2'
_symmetry_space_group_name_H-M 'P 1 21/m 1'
_symmetry_Int_Tables_number 11
_cell_length_a 5.015
_cell_length_b 3.253
_cell_length_c 9.120
_cell_angle_alpha 90.00
_cell_angle_beta 101.17
_cell_angle_gamma 90.00
loop_
_symmetry_equiv_pos_as_xyz
'x,y,z'
'-x,-y,-z'
'-x,y+1/2,-z'
'x,-y+1/2,z'
loop_
_atom_site_label
_atom_site_fract_x
_atom_site_fract_y
_atom_site_fract_z
_atom_site_occupancy
Pa1 0.170 0.250 0.410 1
Pa2 0.204 0.750 0.928 1
Tc1 0.447 0.250 0.717 1
B1 0.334 0.250 0.152 1
```

Formation energy (eV/atom): -0.15
Offset from the most stable computed form (eV/atom): 0.0000
Size of the total moment (μB per atom): 0.00
DOS(E_F) (states/eV per atom): 1.17

No. 7
DFT (PBE) results for Tb4Sb2C after structural relaxation.

Cell and atoms, written as CIF:
```
data_Tb4Sb2C
_chemical_formula_sum 'Tb8 Sb4 C2'
_symmetry_space_group_name_H-M 'I 4/m m m'
_symmetry_Int_Tables_number 139
_symmetry_space_group_name_Hall '-I 4 2'
_cell_length_a 4.818
_cell_length_b 4.818
_cell_length_c 15.827
_cell_angle_alpha 90.00
_cell_angle_beta 90.00
_cell_angle_gamma 90.00
loop_
_atom_site_label
_atom_site_fract_x
_atom_site_fract_y
_atom_site_fract_z
_atom_site_occupancy
Tb1 0.000 0.000 0.158 1
Tb2 0.000 0.500 0.000 1
Sb1 0.000 0.000 0.358 1
C1 0.000 0.000 0.000 1
```

Offset from the most stable computed form (eV/atom): 0.0000
Size of the total moment (μB per atom): 0.00
E_form (uncorrected) (eV/atom): -0.772
DOS(E_F) (states/eV per atom): 0.82

No. 8
DFT (PBE) results for NaAg3I after structural relaxation.

Cell and atoms, written as CIF:
```
data_NaAg3I
_chemical_formula_sum 'Na1 Ag3 I1'
_symmetry_space_group_name_H-M 'P m -3 m'
_symmetry_Int_Tables_number 221
_symmetry_space_group_name_Hall '-P 4 2 3'
_cell_length_a 5.616
_cell_length_b 5.616
_cell_length_c 5.616
_cell_angle_alpha 90.00
_cell_angle_beta 90.00
_cell_angle_gamma 90.00
loop_
_atom_site_label
_atom_site_fract_x
_atom_site_fract_y
_atom_site_fract_z
_atom_site_occupancy
Na1 0.000 0.000 0.000 1
Ag1 0.000 0.500 0.500 1
I1 0.500 0.500 0.500 1
```

Offset from the most stable computed form (eV/atom): 0.0000
Size of the total moment (μB per atom): 0.00
E_form (uncorrected) (eV/atom): 0.613
DOS(E_F) (states/eV per atom): 1.22

No. 9
DFT (PBE) results for Ga3Sb5I12 after structural relaxation.

Cell and atoms, written as CIF:
```
data_Ga3Sb5I12
_chemical_formula_sum 'Ga24 Sb40 I96'
_symmetry_space_group_name_H-M 'I a -3 d'
_symmetry_Int_Tables_number 230
_symmetry_space_group_name_Hall '-I 4bd 2c 3'
_cell_length_a 19.645
_cell_length_b 19.645
_cell_length_c 19.645
_cell_angle_alpha 90.00
_cell_angle_beta 90.00
_cell_angle_gamma 90.00
loop_
_atom_site_label
_atom_site_fract_x
_atom_site_fract_y
_atom_site_fract_z
_atom_site_occupancy
Ga1 0.000 0.250 0.125 1
Sb1 0.000 0.000 0.000 1
Sb2 0.000 0.250 0.375 1
I1 0.021 0.056 0.650 1
```

Size of the total moment (μB per atom): 0.00
E_form (uncorrected) (eV/atom): 0.047
DOS(E_F) (states/eV per atom): 0.76

No. 10
DFT (PBE) results for Ni5GeB2Pt2 after structural relaxation.

Cell and atoms, written as CIF:
```
data_Ni5GeB2Pt2
_chemical_formula_sum 'Ni10 Ge2 B4 Pt4'
_symmetry_space_group_name_H-M 'P 4/m b m'
_symmetry_Int_Tables_number 127
_symmetry_space_group_name_Hall '-P 4 2ab'
_cell_length_a 8.249
_cell_length_b 8.249
_cell_length_c 3.224
_cell_angle_alpha 90.00
_cell_angle_beta 90.00
_cell_angle_gamma 90.00
loop_
_atom_site_label
_atom_site_fract_x
_atom_site_fract_y
_atom_site_fract_z
_atom_site_occupancy
Ni1 0.000 0.500 0.000 1
Ni2 0.068 0.214 0.000 1
Ge1 0.000 0.000 0.500 1
B1 0.124 0.376 0.500 1
Pt1 0.177 0.677 0.500 1
```

Formation energy (eV/atom): -0.24
Size of the total moment (μB per atom): 0.00
DOS(E_F) (states/eV per atom): 0.47

No. 11
DFT (PBE) results for Ce6In2CoRu after structural relaxation.

Cell and atoms, written as CIF:
```
data_Ce6In2CoRu
_chemical_formula_sum 'Ce12 In4 Co2 Ru2'
_symmetry_space_group_name_H-M 'I 4 m m'
_symmetry_Int_Tables_number 107
_symmetry_space_group_name_Hall 'I 4 -2'
_cell_length_a 7.371
_cell_length_b 7.371
_cell_length_c 10.496
_cell_angle_alpha 90.00
_cell_angle_beta 90.00
_cell_angle_gamma 90.00
loop_
_atom_site_label
_atom_site_fract_x
_atom_site_fract_y
_atom_site_fract_z
_atom_site_occupancy
Ce1 0.000 0.000 0.000 1
Ce2 0.000 0.000 0.493 1
Ce3 0.244 0.244 0.244 1
In1 0.000 0.500 0.496 1
Co1 0.000 0.000 0.242 1
Ru1 0.000 0.000 0.758 1
```

Formation energy (eV/atom): -0.21
Size of the total moment (μB per atom): 0.35
DOS(E_F) (states/eV per atom): 3.04

No. 12
DFT (PBE) results for KBeRu3 after structural relaxation.

Cell and atoms, written as CIF:
```
data_KBeRu3
_chemical_formula_sum 'K1 Be1 Ru3'
_symmetry_space_group_name_H-M 'P m -3 m'
_symmetry_Int_Tables_number 221
_symmetry_space_group_name_Hall '-P 4 2 3'
_cell_length_a 4.588
_cell_length_b 4.588
_cell_length_c 4.588
_cell_angle_alpha 90.00
_cell_angle_beta 90.00
_cell_angle_gamma 90.00
loop_
_atom_site_label
_atom_site_fract_x
_atom_site_fract_y
_atom_site_fract_z
_atom_site_occupancy
K1 0.000 0.000 0.000 1
Be1 0.500 0.500 0.500 1
Ru1 0.000 0.000 0.500 1
```

Formation energy (eV/atom): 3.13
Offset from the most stable computed form (eV/atom): 1.9652
Size of the total moment (μB per atom): 0.86
DOS(E_F) (states/eV per atom): 1.12